Crystalline Ho2ThPt at its relaxed geometry. Source: the Alexandria database, functional PBE-GGA.

abc: 7.0215 9.7737 6.5295
angles: 90.00 90.00 90.00
Closest atoms and distances in Å follow each position.
Space group Pnma (No. 62)
Asymmetric unit:
1 Ho 0.1843 0.0620 0.1657  2 Pt 2.89
2 Th 0.0268 0.2500 0.6469  2 Pt 2.85-2.93
3 Pt 0.1190 0.7500 0.9328  2 Th 2.85-2.93, 4 Ho 2.89

Formation energy: -660 meV per atom